# 1
The following is a DFT calculation (PBE) of a geometry-optimized CeDy3Sb2 structure.

## Properties
uncorrected formation energy: -62.7 kJ per mole of atoms
calculated volume: 29.61 Å³/atom
electronic total energy: -5.31 eV per atom

Lattice parameters (Å, degrees): 9.435 9.435 9.794 113.38 113.38 26.51
Positions (direct):
1 Ce 0.110 0.110 0.119
2 Ce 0.890 0.890 0.881
3 Dy 0.057 0.057 0.674
4 Dy 0.312 0.312 0.110
5 Dy 0.356 0.356 0.526
6 Dy 0.644 0.644 0.474
7 Dy 0.688 0.688 0.890
8 Dy 0.943 0.943 0.326
9 Sb 0.247 0.247 0.716
10 Sb 0.489 0.489 0.156
11 Sb 0.511 0.511 0.844
12 Sb 0.753 0.753 0.284

# 2
The following is a DFT calculation (PBE) of a geometry-optimized BaBrOF2 structure.

## Properties
uncorrected formation energy: -149.0 kJ per mole of atoms
calculated volume: 19.15 Å³/atom
electronic total energy: -4.00 eV per atom

Lattice parameters (Å, degrees): 4.822 4.822 4.116 90.00 90.00 90.00
Positions (direct):
1 Ba 0.000 0.000 0.000
2 Br 0.500 0.500 0.500
3 O 0.500 0.500 0.000
4 F 0.000 0.500 0.500
5 F 0.500 0.000 0.500

# 3
The following is a DFT calculation (PBE) of a geometry-optimized Al2PbAu structure.

## Properties
E_form: 0.027 eV/atom
calculated volume: 23.64 Å³/atom
electronic total energy: -3.59 eV per atom

Lattice parameters (Å, degrees): 9.128 9.128 9.128 150.04 150.04 42.88
Positions (direct):
1 Al 0.038 0.625 0.913
2 Al 0.375 0.288 0.413
3 Al 0.712 0.125 0.087
4 Al 0.875 0.962 0.587
5 Pb 0.250 0.750 0.500
6 Pb 0.500 0.500 0.000
7 Au 0.000 0.000 0.000
8 Au 0.750 0.250 0.500

# 4
The following is a DFT calculation (PBE) of a geometry-optimized Ta2AlMo structure.

## Properties
E_form: -0.145 eV/atom
calculated volume: 16.87 Å³/atom
electronic total energy: -9.71 eV per atom

Lattice parameters (Å, degrees): 3.362 3.362 5.972 90.00 90.00 90.00
Positions (direct):
1 Ta 0.000 0.000 0.000
2 Ta 0.500 0.500 0.270
3 Al 0.000 0.000 0.518
4 Mo 0.500 0.500 0.741

# 5
The following is a DFT calculation (PBE) of a geometry-optimized Na2NbC2 structure.

## Properties
E_form: 1.019 eV/atom
calculated volume: 16.25 Å³/atom
electronic total energy: -5.21 eV per atom

Lattice parameters (Å, degrees): 6.032 6.032 4.467 90.00 90.00 90.00
Positions (direct):
1 Na 0.150 0.350 0.000
2 Na 0.350 0.850 0.000
3 Na 0.650 0.150 0.000
4 Na 0.850 0.650 0.000
5 Nb 0.000 0.000 0.500
6 Nb 0.500 0.500 0.500
7 C 0.215 0.715 0.500
8 C 0.285 0.215 0.500
9 C 0.715 0.785 0.500
10 C 0.785 0.285 0.500

# 6
The following is a DFT calculation (PBE) of a geometry-optimized Sm7DyMg4 structure.

## Properties
E_form: 0.142 eV/atom
calculated volume: 30.96 Å³/atom
electronic total energy: -3.53 eV per atom

Lattice parameters (Å, degrees): 8.188 8.188 9.774 119.09 119.09 41.59
Positions (direct):
1 Sm 0.000 0.000 0.000
2 Sm 0.248 0.248 0.712
3 Sm 0.302 0.302 0.123
4 Sm 0.419 0.419 0.574
5 Sm 0.581 0.581 0.426
6 Sm 0.698 0.698 0.877
7 Sm 0.752 0.752 0.288
8 Dy 0.500 0.500 0.000
9 Mg 0.040 0.040 0.695
10 Mg 0.175 0.175 0.345
11 Mg 0.825 0.825 0.655
12 Mg 0.960 0.960 0.305

# 7
The following is a DFT calculation (PBE) of a geometry-optimized LaTb2CePm6 structure.

## Properties
E_form: 0.231 eV/atom
calculated volume: 34.43 Å³/atom
electronic total energy: -4.63 eV per atom

Lattice parameters (Å, degrees): 6.666 6.666 9.015 101.80 101.80 62.25
Positions (direct):
1 La 0.000 0.000 0.000
2 Tb 0.092 0.092 0.660
3 Tb 0.908 0.908 0.340
4 Ce 0.500 0.500 0.500
5 Pm 0.067 0.592 0.697
6 Pm 0.370 0.370 0.083
7 Pm 0.408 0.933 0.303
8 Pm 0.592 0.067 0.697
9 Pm 0.630 0.630 0.917
10 Pm 0.933 0.408 0.303

# 8
The following is a DFT calculation (PBE) of a geometry-optimized EuPaSn2 structure.

## Properties
E_form: -0.244 eV/atom
calculated volume: 27.94 Å³/atom
electronic total energy: -7.19 eV per atom

Lattice parameters (Å, degrees): 5.407 5.407 5.407 60.00 60.00 60.00
Positions (direct):
1 Eu 0.000 0.000 0.000
2 Pa 0.500 0.500 0.500
3 Sn 0.250 0.250 0.250
4 Sn 0.750 0.750 0.750

# 9
The following is a DFT calculation (PBE) of a geometry-optimized BaIr2Os structure.

## Properties
E_form: 1.256 eV/atom
calculated volume: 19.31 Å³/atom
electronic total energy: -6.46 eV per atom

Lattice parameters (Å, degrees): 4.781 4.781 4.781 60.00 60.00 60.00
Positions (direct):
1 Ba 0.000 0.000 0.000
2 Ir 0.250 0.250 0.250
3 Ir 0.750 0.750 0.750
4 Os 0.500 0.500 0.500

# 10
The following is a DFT calculation (PBE) of a geometry-optimized YTl2SbCl structure.

## Properties
uncorrected formation energy: 10.7 kJ per mole of atoms
calculated volume: 32.84 Å³/atom
electronic total energy: -3.32 eV per atom

Lattice parameters (Å, degrees): 5.562 5.562 5.308 90.00 90.00 90.00
Positions (direct):
1 Y 0.000 0.000 0.000
2 Tl 0.000 0.500 0.500
3 Tl 0.500 0.000 0.500
4 Sb 0.500 0.500 0.000
5 Cl 0.500 0.500 0.500

# 11
The following is a DFT calculation (PBE) of a geometry-optimized LiPr2CuIr2 structure.

## Properties
E_form: -0.407 eV/atom
calculated volume: 20.25 Å³/atom
electronic total energy: -5.96 eV per atom

Lattice parameters (Å, degrees): 8.292 8.292 8.292 138.99 59.38 139.00
Positions (direct):
1 Li 0.250 0.250 0.000
2 Li 0.750 0.750 0.000
3 Pr 0.167 0.249 0.416
4 Pr 0.333 0.749 0.082
5 Pr 0.667 0.251 0.918
6 Pr 0.833 0.751 0.584
7 Cu 0.250 0.750 0.500
8 Cu 0.750 0.250 0.500
9 Ir 0.119 0.746 0.866
10 Ir 0.381 0.246 0.627
11 Ir 0.619 0.754 0.373
12 Ir 0.881 0.254 0.134

# 12
The following is a DFT calculation (PBE) of a geometry-optimized Co2CuAu structure.

## Properties
E_form: 0.202 eV/atom
calculated volume: 13.16 Å³/atom
electronic total energy: -5.19 eV per atom

Lattice parameters (Å, degrees): 4.490 4.490 4.683 99.66 99.66 34.51
Positions (direct):
1 Co 0.000 0.000 0.000
2 Co 0.740 0.740 0.199
3 Cu 0.251 0.251 0.748
4 Au 0.495 0.495 0.491